Computed, not measured: La2Nd3Cd3 after structural relaxation at the PBE level of DFT.

```
La2Nd3Cd3
1.0
3.8582 0.0000 -0.6214
-0.2086 5.3857 -1.2951
-0.0553 0.0179 11.9457
La Nd Cd
2 3 3
Direct
0.2666 0.7666 0.5333
0.7334 0.2334 0.4667
0.3799 0.3799 0.7598
0.6201 0.6201 0.2402
0.5000 0.0000 0.0000
0.8847 0.8847 0.7693
0.0000 0.5000 0.0000
0.1153 0.1153 0.2307
```

- Volume: 248.1 Å³/cell
- Size of the total moment: 0.0 μB per formula unit
- Space group: Immm
- Fermi-level density of states: 1.4113 states/eV/atom
- Final energy: -3.59 eV/atom
- Energy of formation: -0.22 eV per atom